1.
DFT (PBE) results for a relaxed structure of Th4AlTl.

Calculated values
VASP energy, eV per cell: -73.32

Unit cell a=7.722 b=7.722 c=5.993 alpha=90.00 beta=90.00 gamma=90.00
Positions (direct):
Th1 0.147 0.337 0.000
Th2 0.147 0.663 0.500
Th3 0.337 0.147 0.500
Th4 0.337 0.853 0.000
Th5 0.663 0.147 0.000
Th6 0.663 0.853 0.500
Th7 0.853 0.337 0.500
Th8 0.853 0.663 0.000
Al1 0.000 0.000 0.250
Al2 0.000 0.000 0.750
Tl1 0.500 0.500 0.250
Tl2 0.500 0.500 0.750


2.
DFT (PBE) results for a relaxed structure of AcLuGaPd.

Calculated values
VASP energy, eV per cell: -76.36

Unit cell a=7.383 b=7.383 c=7.383 alpha=90.00 beta=90.00 gamma=90.00
Positions (direct):
Ac1 0.000 0.000 0.000
Ac2 0.000 0.500 0.500
Ac3 0.500 0.000 0.500
Ac4 0.500 0.500 0.000
Lu1 0.000 0.000 0.500
Lu2 0.000 0.500 0.000
Lu3 0.500 0.000 0.000
Lu4 0.500 0.500 0.500
Ga1 0.250 0.250 0.750
Ga2 0.250 0.750 0.250
Ga3 0.750 0.250 0.250
Ga4 0.750 0.750 0.750
Pd1 0.250 0.250 0.250
Pd2 0.250 0.750 0.750
Pd3 0.750 0.250 0.750
Pd4 0.750 0.750 0.250


3.
DFT (PBE) results for a relaxed structure of HfScN2O.

Calculated values
Raw formation energy, eV per atom: -0.6641

Unit cell a=4.010 b=4.010 c=3.871 alpha=90.00 beta=90.00 gamma=90.00
Positions (direct):
Hf1 0.000 0.000 0.000
Sc1 0.500 0.500 0.500
N1 0.000 0.500 0.500
N2 0.500 0.000 0.500
O1 0.500 0.500 0.000


4.
DFT (PBE) results for a relaxed structure of PmNdEr2Tm.

Calculated values
VASP energy, eV per cell: -42.68

Unit cell a=8.928 b=8.928 c=6.383 alpha=90.00 beta=90.00 gamma=138.07
Positions (direct):
Pm1 0.157 0.843 0.750
Pm2 0.843 0.157 0.250
Nd1 0.342 0.658 0.750
Nd2 0.658 0.342 0.250
Er1 0.250 0.250 0.000
Er2 0.250 0.250 0.500
Er3 0.750 0.750 0.000
Er4 0.750 0.750 0.500
Tm1 0.252 0.748 0.250
Tm2 0.748 0.252 0.750


5.
DFT (PBE) results for a relaxed structure of Ac8SiBi3Te4.

Calculated values
Raw formation energy, eV per atom: -1.2402

Unit cell a=9.555 b=9.555 c=9.555 alpha=60.23 beta=60.23 gamma=60.23
Positions (direct):
Ac1 0.249 0.249 0.249
Ac2 0.261 0.737 0.737
Ac3 0.263 0.263 0.739
Ac4 0.263 0.739 0.263
Ac5 0.737 0.261 0.737
Ac6 0.737 0.737 0.261
Ac7 0.739 0.263 0.263
Ac8 0.751 0.751 0.751
Si1 0.500 0.500 0.500
Bi1 0.000 0.000 0.500
Bi2 0.000 0.500 0.000
Bi3 0.500 0.000 0.000
Te1 0.000 0.000 0.000
Te2 0.000 0.500 0.500
Te3 0.500 0.000 0.500
Te4 0.500 0.500 0.000


6.
DFT (PBE) results for a relaxed structure of Ba3Hg.

Calculated values
VASP energy, eV per cell: -6.65

Unit cell a=4.340 b=4.451 c=11.553 alpha=90.00 beta=90.00 gamma=90.00
Positions (direct):
Ba1 0.000 0.000 0.000
Ba2 0.000 0.500 0.336
Ba3 0.500 0.500 0.700
Hg1 0.500 0.000 0.470


7.
DFT (PBE) results for a relaxed structure of SmDy6Mg2.

Calculated values
VASP energy, eV per cell: -31.52

Unit cell a=7.620 b=7.620 c=7.620 alpha=56.40 beta=56.40 gamma=56.40
Positions (direct):
Sm1 0.000 0.000 0.000
Dy1 0.055 0.055 0.546
Dy2 0.055 0.546 0.055
Dy3 0.271 0.271 0.712
Dy4 0.271 0.712 0.271
Dy5 0.546 0.055 0.055
Dy6 0.712 0.271 0.271
Mg1 0.565 0.565 0.565
Mg2 0.742 0.742 0.742


8.
DFT (PBE) results for a relaxed structure of PrYSc.

Calculated values
VASP energy, eV per cell: -34.86

Unit cell a=3.744 b=3.744 c=13.420 alpha=90.00 beta=90.00 gamma=90.00
Positions (direct):
Pr1 0.250 0.250 0.095
Pr2 0.750 0.750 0.905
Y1 0.250 0.250 0.712
Y2 0.750 0.750 0.288
Sc1 0.250 0.250 0.441
Sc2 0.750 0.750 0.559


9.
DFT (PBE) results for a relaxed structure of Tb2Nd6Sm3.

Calculated values
VASP energy, eV per cell: -51.90

Unit cell a=32.767 b=32.767 c=32.767 alpha=6.38 beta=6.38 gamma=6.38
Positions (direct):
Tb1 0.045 0.045 0.045
Tb2 0.955 0.955 0.955
Nd1 0.136 0.136 0.136
Nd2 0.318 0.318 0.318
Nd3 0.409 0.409 0.409
Nd4 0.591 0.591 0.591
Nd5 0.682 0.682 0.682
Nd6 0.864 0.864 0.864
Sm1 0.227 0.227 0.227
Sm2 0.500 0.500 0.500
Sm3 0.773 0.773 0.773


10.
DFT (PBE) results for a relaxed structure of Tl2ZnMo.

Calculated values
VASP energy, eV per cell: -28.72

Unit cell a=4.143 b=4.143 c=9.220 alpha=90.00 beta=90.00 gamma=90.00
Positions (direct):
Tl1 0.000 0.500 0.250
Tl2 0.000 0.500 0.750
Tl3 0.500 0.000 0.250
Tl4 0.500 0.000 0.750
Zn1 0.000 0.000 0.000
Zn2 0.500 0.500 0.500
Mo1 0.000 0.000 0.500
Mo2 0.500 0.500 0.000


11.
DFT (PBE) results for a relaxed structure of Cu8Se5S.

Calculated values
Raw formation energy, eV per atom: -0.0747

Unit cell a=7.192 b=7.192 c=7.192 alpha=60.00 beta=60.00 gamma=60.00
Positions (direct):
Cu1 0.116 0.116 0.116
Cu2 0.116 0.116 0.652
Cu3 0.116 0.652 0.116
Cu4 0.120 0.627 0.627
Cu5 0.627 0.120 0.627
Cu6 0.627 0.627 0.120
Cu7 0.627 0.627 0.627
Cu8 0.652 0.116 0.116
Se1 0.250 0.250 0.250
Se2 0.381 0.873 0.873
Se3 0.873 0.381 0.873
Se4 0.873 0.873 0.381
Se5 0.873 0.873 0.873
S1 0.500 0.500 0.500


12.
DFT (PBE) results for a relaxed structure of SrCd2Pt.

Calculated values
VASP energy, eV per cell: -42.01

Unit cell a=4.352 b=4.352 c=21.867 alpha=90.00 beta=90.00 gamma=90.00
Positions (direct):
Sr1 0.000 0.000 0.000
Sr2 0.000 0.500 0.250
Sr3 0.500 0.000 0.750
Sr4 0.500 0.500 0.500
Cd1 0.212 0.250 0.625
Cd2 0.250 0.712 0.875
Cd3 0.250 0.788 0.375
Cd4 0.288 0.250 0.125
Cd5 0.712 0.750 0.125
Cd6 0.750 0.212 0.375
Cd7 0.750 0.288 0.875
Cd8 0.788 0.750 0.625
Pt1 0.000 0.000 0.500
Pt2 0.000 0.500 0.750
Pt3 0.500 0.000 0.250
Pt4 0.500 0.500 0.000